[1]
{
  "formula": "NdSi2Rh3",
  "functional": "GGA-PBEsol",
  "state": "relaxed",
  "spacegroup": "Imma (74)",
  "raw_formation_energy_ev_per_atom": -1.089,
  "total_magnetization_mub_per_fu": 0.00,
  "energy_ev_per_atom": -7.935,
  "polymorph_energy_mev_per_atom": 0.0,
  "lattice_angstrom": [[5.5394, 0.0000, 0.0000], [2.7697, 5.9881, -0.0315], [2.7697, 1.7648, 5.7222]],
  "species": ["Nd", "Nd", "Si", "Si", "Si", "Si", "Rh", "Rh", "Rh", "Rh", "Rh", "Rh"],
  "fractional_positions": [[0.0364, 0.2500, 0.2500], [0.9636, 0.7500, 0.7500], [0.3813, 0.4209, 0.4209], [0.6187, 0.5791, 0.5791], [0.2770, 0.9209, 0.9209], [0.7230, 0.0791, 0.0791], [0.5000, 0.7832, 0.2168], [0.0000, 0.2832, 0.7168], [0.5000, 0.2168, 0.7832], [0.0000, 0.7168, 0.2832], [0.5000, 0.5000, 0.0000], [0.5000, 0.0000, 0.5000]]
}

=====

[2]
{
  "formula": "Nd3Sn13Rh4",
  "functional": "GGA-PBEsol",
  "state": "relaxed",
  "spacegroup": "Pm-3n (223)",
  "total_magnetization_mub_per_fu": 0.00,
  "energy_ev_per_atom": -5.794,
  "formation_energy_ev_per_atom": -0.622,
  "lattice_angstrom": [[9.6491, 0.0000, 0.0000], [0.0000, 9.6491, 0.0000], [0.0000, 0.0000, 9.6491]],
  "species": ["Nd", "Nd", "Nd", "Nd", "Nd", "Nd", "Sn", "Sn", "Sn", "Sn", "Sn", "Sn", "Sn", "Sn", "Sn", "Sn", "Sn", "Sn", "Sn", "Sn", "Sn", "Sn", "Sn", "Sn", "Sn", "Sn", "Sn", "Sn", "Sn", "Sn", "Sn", "Sn", "Rh", "Rh", "Rh", "Rh", "Rh", "Rh", "Rh", "Rh"],
  "fractional_positions": [[0.5000, 0.0000, 0.7500], [0.5000, 0.0000, 0.2500], [0.2500, 0.5000, 0.0000], [0.7500, 0.5000, 0.0000], [0.0000, 0.2500, 0.5000], [0.0000, 0.7500, 0.5000], [0.5000, 0.3469, 0.1928], [0.1928, 0.5000, 0.3469], [0.3072, 0.8469, 0.0000], [0.0000, 0.6928, 0.8469], [0.3469, 0.1928, 0.5000], [0.1928, 0.5000, 0.6531], [0.0000, 0.0000, 0.0000], [0.6531, 0.8072, 0.5000], [0.0000, 0.3072, 0.1531], [0.8072, 0.5000, 0.6531], [0.6531, 0.1928, 0.5000], [0.5000, 0.6531, 0.8072], [0.6928, 0.8469, 0.0000], [0.3469, 0.8072, 0.5000], [0.3072, 0.1531, 0.0000], [0.8469, 0.0000, 0.6928], [0.5000, 0.6531, 0.1928], [0.8469, 0.0000, 0.3072], [0.0000, 0.6928, 0.1531], [0.5000, 0.5000, 0.5000], [0.0000, 0.3072, 0.8469], [0.1531, 0.0000, 0.6928], [0.6928, 0.1531, 0.0000], [0.5000, 0.3469, 0.8072], [0.8072, 0.5000, 0.3469], [0.1531, 0.0000, 0.3072], [0.2500, 0.7500, 0.2500], [0.7500, 0.2500, 0.2500], [0.7500, 0.7500, 0.2500], [0.2500, 0.2500, 0.7500], [0.7500, 0.2500, 0.7500], [0.7500, 0.7500, 0.7500], [0.2500, 0.2500, 0.2500], [0.2500, 0.7500, 0.7500]]
}